[1]
This record from Alexandria via LeMat-Bulk describes a relaxed NpGaH crystal. The functional is PBE.

**Energy above the most stable polymorph in this dataset**: 0 meV per atom

a b c (Å): 2.9353 2.9353 10.9309
angles (deg): 90.00 90.00 90.00
Closest atoms and distances in Å follow each position.
Space group I4mm (No. 107)
Inequivalent atoms, fractional coordinates:
Np  0.0000  0.0000  0.0000 x2  4 H 2.25
Ga  0.0000  0.0000  0.7194 x2  4 Ga 2.94, 5 H 3.03-3.26, 5 Np 3.07-3.17
H  0.0000  0.0000  0.4214 x2  4 Np 2.25

---

[2]
This record from Alexandria via LeMat-Bulk describes a relaxed BaCe2OsN4 crystal. The functional is PBE.

**ΔE_f (raw)**: -7.035 eV/f.u.

a b c (Å): 3.6363 12.2364 12.3977
angles (deg): 90.00 90.00 90.00
Closest atoms and distances in Å follow each position.
Space group Cmcm (No. 63)
Inequivalent atoms, fractional coordinates:
Ba  0.0000  0.0768  0.2500 x4  4 N 2.97-3.24, 1 Os 3.23
Ce  0.0000  0.3664  0.0478 x8  6 N 2.36-2.52
Os  0.0000  0.1872  0.7500 x4  4 N 1.97-2.02
N  0.0000  0.0000  0.0000 x4  4 Ce 2.52
N  0.0000  0.2488  0.6036 x8  1 Os 1.97
N  0.0000  0.3852  0.2500 x4  2 Os 2.02

---

[3]
This record from Alexandria via LeMat-Bulk describes a relaxed TcW2Cl crystal. The functional is PBE.

**Energy above the most stable polymorph in this dataset**: 688 meV per atom
**ΔE_f (raw)**: 4.206 eV/f.u.

a b c (Å): 5.2675 8.5495 2.8272
angles (deg): 90.00 90.00 90.00
Closest atoms and distances in Å follow each position.
Space group Cmmm (No. 65)
Inequivalent atoms, fractional coordinates:
Tc  0.0000  0.0000  0.0000 x2  2 Cl 2.63, 2 Tc 2.83, 8 W 2.88
W  0.2500  0.2500  0.5000 x4  4 W 2.63-2.83, 4 Cl 2.88, 4 Tc 2.88
Cl  0.0000  0.5000  0.0000 x2  2 Tc 2.63, 2 Cl 2.83, 8 W 2.88

---

| no. | magnetization (Bohr magnetons per cell) |
| --- | --- |
| 1 | 8.0 |
| 2 | 0.0 |
| 3 | 0.0 |